1.
A plane-wave DFT calculation with PBE-GGA was carried out for a relaxed BeSnP3 crystal.

Summary:
* volume: 25.19 A^3/atom
* DFT formation energy: 8.29 eV per formula unit

Structure (CIF):
```
data_BeSnP3
_chemical_formula_sum 'Be1 Sn1 P3'
_symmetry_space_group_name_H-M 'P m -3 m'
_symmetry_Int_Tables_number 221
_symmetry_space_group_name_Hall '-P 4 2 3'
_cell_length_a 5.013
_cell_length_b 5.013
_cell_length_c 5.013
_cell_angle_alpha 90.00
_cell_angle_beta 90.00
_cell_angle_gamma 90.00
loop_
_atom_site_label
_atom_site_type_symbol
_atom_site_fract_x
_atom_site_fract_y
_atom_site_fract_z
Be1 Be 0.000 0.000 0.000
Sn1 Sn 0.500 0.500 0.500
P1 P 0.000 0.500 0.500
```

***

2.
A plane-wave DFT calculation with PBE-GGA was carried out for a relaxed Ag2PtBr crystal.

Summary:
* volume: 18.76 A^3/atom
* formation energy without anion corrections: 0.344 eV/atom

Structure (CIF):
```
data_Ag2PtBr
_chemical_formula_sum 'Ag2 Pt1 Br1'
_symmetry_space_group_name_H-M 'P 4/m m m'
_symmetry_Int_Tables_number 123
_symmetry_space_group_name_Hall '-P 4 2'
_cell_length_a 4.209
_cell_length_b 4.209
_cell_length_c 4.236
_cell_angle_alpha 90.00
_cell_angle_beta 90.00
_cell_angle_gamma 90.00
loop_
_atom_site_label
_atom_site_type_symbol
_atom_site_fract_x
_atom_site_fract_y
_atom_site_fract_z
Ag1 Ag 0.000 0.500 0.000
Pt1 Pt 0.000 0.000 0.500
Br1 Br 0.500 0.500 0.500
```

***

no.,calculated total energy (eV/f.u.)
1,-15.672
2,-12.041